Material: NdSmPdPt
Method: DFT, PBE
State: relaxed

VASP energy: -6.105 eV per atom
DFT formation energy: -0.925 eV per atom
Energy above the lowest structure with this stoichiometry: 0.082 eV per atom

The structure in CIF format:
```
data_NdSmPdPt
_cell_length_a 7.1894
_cell_length_b 7.1894
_cell_length_c 7.1894
_cell_angle_alpha 90.00
_cell_angle_beta 90.00
_cell_angle_gamma 90.00
_space_group_name_H-M_alt 'F -4 3 m'
_space_group_IT_number 216
_space_group_name_Hall 'F -4 2 3'
loop_
_atom_site_label
_atom_site_type_symbol
_atom_site_fract_x
_atom_site_fract_y
_atom_site_fract_z
_atom_site_occupancy
Nd1 Nd 0.0000 0.0000 0.0000 1
Sm1 Sm 0.0000 0.0000 0.5000 1
Pd1 Pd 0.2500 0.2500 0.7500 1
Pt1 Pt 0.2500 0.2500 0.2500 1
```

Material: FePC2
Method: DFT, PBE
State: relaxed

VASP energy: -7.718 eV per atom
DFT formation energy: 0.363 eV per atom

The structure in CIF format:
```
data_FePC2
_cell_length_a 7.8166
_cell_length_b 2.5326
_cell_length_c 5.4265
_cell_angle_alpha 90.00
_cell_angle_beta 124.32
_cell_angle_gamma 90.00
_space_group_name_H-M_alt 'C 1 m 1'
_space_group_IT_number 8
loop_
_space_group_symop_operation_xyz
'x,y,z'
'x,-y,z'
'x+1/2,y+1/2,z'
'x+1/2,-y+1/2,z'
loop_
_atom_site_label
_atom_site_type_symbol
_atom_site_fract_x
_atom_site_fract_y
_atom_site_fract_z
_atom_site_occupancy
Fe1 Fe 0.0000 0.0000 0.0000 1
P1 P 0.1961 0.5000 0.9263 1
C1 C 0.1397 0.0000 0.4192 1
C2 C 0.1764 0.5000 0.5680 1
```

Material: CaCuMo2
Method: DFT, PBE
State: relaxed

VASP energy: -6.244 eV per atom
DFT formation energy: 0.696 eV per atom
Energy above the lowest structure with this stoichiometry: 0.356 eV per atom

The structure in CIF format:
```
data_CaCuMo2
_cell_length_a 5.4020
_cell_length_b 9.7281
_cell_length_c 2.6430
_cell_angle_alpha 90.00
_cell_angle_beta 90.00
_cell_angle_gamma 90.00
_space_group_name_H-M_alt 'C m m m'
_space_group_IT_number 65
_space_group_name_Hall '-C 2 2'
loop_
_atom_site_label
_atom_site_type_symbol
_atom_site_fract_x
_atom_site_fract_y
_atom_site_fract_z
_atom_site_occupancy
Ca1 Ca 0.0000 0.0000 0.0000 1
Cu1 Cu 0.0000 0.5000 0.0000 1
Mo1 Mo 0.2500 0.2500 0.5000 1
```

Material: Li12PmGe4
Method: DFT, PBE
State: relaxed

VASP energy: -2.717 eV per atom
DFT formation energy: -0.001 eV per atom

The structure in CIF format:
```
data_Li12PmGe4
_cell_length_a 9.0630
_cell_length_b 9.0630
_cell_length_c 9.0630
_cell_angle_alpha 90.00
_cell_angle_beta 90.00
_cell_angle_gamma 90.00
_space_group_name_H-M_alt 'I m -3'
_space_group_IT_number 204
_space_group_name_Hall '-I 2 2 3'
loop_
_atom_site_label
_atom_site_type_symbol
_atom_site_fract_x
_atom_site_fract_y
_atom_site_fract_z
_atom_site_occupancy
Li1 Li 0.0000 0.3401 0.1852 1
Pm1 Pm 0.0000 0.0000 0.0000 1
Ge1 Ge 0.2500 0.2500 0.2500 1
```

Material: PmNiPb2
Method: DFT, PBE
State: relaxed

VASP energy: -4.593 eV per atom
DFT formation energy: -0.106 eV per atom

The structure in CIF format:
```
data_PmNiPb2
_cell_length_a 4.6188
_cell_length_b 4.6188
_cell_length_c 4.5906
_cell_angle_alpha 90.00
_cell_angle_beta 90.00
_cell_angle_gamma 90.00
_space_group_name_H-M_alt 'P 4/m m m'
_space_group_IT_number 123
_space_group_name_Hall '-P 4 2'
loop_
_atom_site_label
_atom_site_type_symbol
_atom_site_fract_x
_atom_site_fract_y
_atom_site_fract_z
_atom_site_occupancy
Pm1 Pm 0.0000 0.0000 0.0000 1
Ni1 Ni 0.5000 0.5000 0.0000 1
Pb1 Pb 0.0000 0.5000 0.5000 1
```

Material: AlPdC2
Method: DFT, PBE
State: relaxed

VASP energy: -5.913 eV per atom
DFT formation energy: 0.933 eV per atom

The structure in CIF format:
```
data_AlPdC2
_cell_length_a 4.7353
_cell_length_b 4.7353
_cell_length_c 9.1106
_cell_angle_alpha 90.00
_cell_angle_beta 90.00
_cell_angle_gamma 90.00
_space_group_name_H-M_alt 'I -4 2 d'
_space_group_IT_number 122
_space_group_name_Hall 'I -4 2bw'
loop_
_atom_site_label
_atom_site_type_symbol
_atom_site_fract_x
_atom_site_fract_y
_atom_site_fract_z
_atom_site_occupancy
Al1 Al 0.0000 0.0000 0.0000 1
Pd1 Pd 0.0000 0.0000 0.5000 1
C1 C 0.2494 0.2500 0.1250 1
```

> Which value of VASP energy does entry 3 give?

-6.244 eV per atom

> Look up the DFT formation energy of the first one.

-0.925 eV per atom

Copy entry 1 word for word.
Material: NdSmPdPt
Method: DFT, PBE
State: relaxed

VASP energy: -6.105 eV per atom
DFT formation energy: -0.925 eV per atom
Energy above the lowest structure with this stoichiometry: 0.082 eV per atom

The structure in CIF format:
```
data_NdSmPdPt
_cell_length_a 7.1894
_cell_length_b 7.1894
_cell_length_c 7.1894
_cell_angle_alpha 90.00
_cell_angle_beta 90.00
_cell_angle_gamma 90.00
_space_group_name_H-M_alt 'F -4 3 m'
_space_group_IT_number 216
_space_group_name_Hall 'F -4 2 3'
loop_
_atom_site_label
_atom_site_type_symbol
_atom_site_fract_x
_atom_site_fract_y
_atom_site_fract_z
_atom_site_occupancy
Nd1 Nd 0.0000 0.0000 0.0000 1
Sm1 Sm 0.0000 0.0000 0.5000 1
Pd1 Pd 0.2500 0.2500 0.7500 1
Pt1 Pt 0.2500 0.2500 0.2500 1
```

> Which of these has the lowest VASP energy?

FePC2